No. 1
Material: PuH3Rh
Method: DFT, GGA-PBE
State: relaxed

Cell lengths 3.697, 3.697, 3.697 Å; angles 90.00, 90.00, 90.00 degrees
Space group Pm-3m (No. 221)
One atom of each set of equivalent atoms:
Pu1 0.000 0.000 0.000 x1
H1 0.000 0.500 0.500 x3
Rh1 0.500 0.500 0.500 x1

Computed properties:
Final energy in eV per atom: -6.7358
D(E_F) in states/eV/atom: 2.15

=====

No. 2
Material: PuH11Rh5
Method: DFT, GGA-PBE
State: relaxed

Cell lengths 5.238, 10.066, 6.083 Å; angles 90.00, 99.75, 90.00 degrees
Space group C2/m (No. 12)
One atom of each set of equivalent atoms:
Pu1 0.000 0.000 0.000 x2
H1 0.000 0.000 0.500 x2
H2 0.034 0.500 0.319 x4
H3 0.072 0.204 0.337 x8
H4 0.163 0.345 0.100 x8
Rh1 0.000 0.500 0.000 x2
Rh2 0.249 0.360 0.374 x8

Computed properties:
Final energy in eV per atom: -5.1914
D(E_F) in states/eV/atom: 0.89

=====

No. 3
Material: PuH6Rh
Method: DFT, GGA-PBE
State: relaxed

Cell lengths 4.4563, 4.4563, 11.5476 Å; angles 90.00, 90.00, 120.00 degrees
Space group R-3m (No. 166, hexagonal axes)
One atom of each set of equivalent atoms:
Pu1 0.0000 0.0000 0.0000 x3
H1 0.0244 0.5122 0.9134 x18
Rh1 0.0000 0.0000 0.5000 x3

Computed properties:
Final energy in eV per atom: -5.4788
D(E_F) in states/eV/atom: 1.29

=====

No. 4
Material: Pu3HRh2
Method: DFT, GGA-PBE
State: relaxed

Cell lengths 3.709, 19.852, 6.265 Å; angles 90.00, 90.00, 90.00 degrees
Space group Cmcm (No. 63)
One atom of each set of equivalent atoms:
Pu1 0.000 0.086 0.011 x8
Pu2 0.000 0.276 0.250 x4
H1 0.000 0.161 0.750 x4
Rh1 0.000 0.325 0.750 x4
Rh2 0.000 0.493 0.250 x4

Computed properties:
Final energy in eV per atom: -10.4640
D(E_F) in states/eV/atom: 4.21

=====

No. 5
Material: Pu3H7Rh2
Method: DFT, GGA-PBE
State: relaxed

Cell lengths 3.509, 18.113, 3.769 Å; angles 90.00, 90.00, 90.00 degrees
Space group Cmmm (No. 65)
One atom of each set of equivalent atoms:
Pu1 0.000 0.000 0.000 x2
Pu2 0.000 0.208 0.000 x4
H1 0.000 0.102 0.500 x4
H2 0.000 0.298 0.500 x4
H3 0.000 0.396 0.000 x4
H4 0.000 0.500 0.500 x2
Rh1 0.000 0.395 0.500 x4

Computed properties:
Final energy in eV per atom: -6.9654
D(E_F) in states/eV/atom: 1.50

=====

No. 6
Material: PuHRh3
Method: DFT, GGA-PBE
State: relaxed

Cell lengths 4.091, 4.091, 4.091 Å; angles 90.00, 90.00, 90.00 degrees
Space group Pm-3m (No. 221)
One atom of each set of equivalent atoms:
Pu1 0.000 0.000 0.000 x1
H1 0.500 0.500 0.500 x1
Rh1 0.000 0.500 0.500 x3

Computed properties:
Final energy in eV per atom: -8.3118
D(E_F) in states/eV/atom: 2.76

=====

No. 7
Material: Pu3H20Rh6
Method: DFT, GGA-PBE
State: relaxed

Cell lengths 9.771, 9.771, 9.771 Å; angles 90.00, 90.00, 90.00 degrees
Space group Fm-3m (No. 225)
One atom of each set of equivalent atoms:
Pu1 0.000 0.000 0.000 x4
Pu2 0.250 0.250 0.250 x8
H1 0.000 0.165 0.165 x48
H2 0.110 0.110 0.390 x32
Rh1 0.000 0.000 0.283 x24

Computed properties:
Final energy in eV per atom: -5.4624
D(E_F) in states/eV/atom: 1.17

=====

No. 8
Material: Pu2HRh
Method: DFT, GGA-PBE
State: relaxed

Cell lengths 3.5996, 3.5996, 16.8559 Å; angles 90.00, 90.00, 120.00 degrees
Space group R3m (No. 160, hexagonal axes)
One atom of each set of equivalent atoms:
Pu1 0.0000 0.0000 0.0000 x3
Pu2 0.0000 0.0000 0.2516 x3
H1 0.0000 0.0000 0.5388 x3
Rh1 0.0000 0.0000 0.4362 x3

Computed properties:
Final energy in eV per atom: -9.9051
D(E_F) in states/eV/atom: 2.24

=====

> D(E_F) of number 8 (Pu2HRh)?

2.24 states/eV/atom